# 1
A plane-wave DFT calculation with PBE-GGA was carried out for a geometry-optimized Pu2InC structure.

Lattice parameters (Å, degrees): 3.1036 3.1036 8.1690 90.00 90.00 90.00
Last column: nearest neighbours and their distance in Å.
Fractional coordinates of all 4 atoms:
1 Pu 0.0000 0.0000 0.1705  4 C 2.60, 1 Pu 2.79
2 Pu 0.0000 0.0000 0.8295  4 C 2.60, 1 Pu 2.79
3 In 0.5000 0.5000 0.5000  4 In 3.10, 8 Pu 3.47
4 C 0.5000 0.5000 0.0000  8 Pu 2.60

Computed properties:
DFT formation energy   0.000 eV/atom



# 2
A plane-wave DFT calculation with PBE-GGA was carried out for a geometry-optimized Sm2PuInC structure.

Lattice parameters (Å, degrees): 5.1245 5.1245 4.6999 90.00 90.00 90.00
Last column: nearest neighbours and their distance in Å.
Fractional coordinates of all 5 atoms:
1 Sm 0.0000 0.5000 0.0000  2 C 2.56
2 Sm 0.5000 0.0000 0.0000  2 C 2.56
3 Pu 0.0000 0.0000 0.5000  2 C 2.35
4 In 0.5000 0.5000 0.5000  8 Sm 3.48, 4 Pu 3.62
5 C 0.0000 0.0000 0.0000  2 Pu 2.35, 4 Sm 2.56

Computed properties:
DFT formation energy   -0.265 eV/atom



# 3
A plane-wave DFT calculation with PBE-GGA was carried out for a geometry-optimized RbInC structure.

Lattice parameters (Å, degrees): 12.0752 12.0752 2.8299 90.00 90.00 158.75
Last column: nearest neighbours and their distance in Å.
Fractional coordinates of all 6 atoms:
1 Rb 0.0864 0.9136 0.7500  2 Rb 2.83, 2 C 3.11
2 Rb 0.9136 0.0864 0.2500  2 Rb 2.83, 2 C 3.11
3 In 0.2888 0.7112 0.2500  2 In 2.83
4 In 0.7112 0.2888 0.7500  2 In 2.83
5 C 0.4952 0.5048 0.7500  2 C 1.43
6 C 0.5048 0.4952 0.2500  2 C 1.43

Computed properties:
DFT formation energy   0.478 eV/atom



# 4
A plane-wave DFT calculation with PBE-GGA was carried out for a geometry-optimized RbInC structure.

Lattice parameters (Å, degrees): 6.0482 6.0482 7.0226 104.87 104.87 49.60
Last column: nearest neighbours and their distance in Å.
Fractional coordinates of all 6 atoms:
1 Rb 0.0000 0.0000 0.0000  2 C 3.19
2 Rb 0.2193 0.2193 0.6573  4 C 3.20-3.21
3 In 0.4373 0.4373 0.3394  2 C 2.38
4 In 0.7320 0.7320 0.2249  2 C 2.64
5 C 0.0485 0.7952 0.5365  1 C 1.29
6 C 0.7952 0.0485 0.5365  1 C 1.29

Computed properties:
DFT formation energy   0.365 eV/atom



# 5
A plane-wave DFT calculation with PBE-GGA was carried out for a geometry-optimized RbInC structure.

Lattice parameters (Å, degrees): 3.8776 3.8776 5.7201 90.00 90.00 120.00
Last column: nearest neighbours and their distance in Å.
Fractional coordinates of all 3 atoms:
1 Rb 0.0000 0.0000 0.0000  6 C 3.63, 6 In 3.63, 6 Rb 3.88
2 In 0.3333 0.6667 0.5000  3 C 2.24
3 C 0.6667 0.3333 0.5000  3 In 2.24

Computed properties:
DFT formation energy   0.819 eV/atom



# 6
A plane-wave DFT calculation with PBE-GGA was carried out for a geometry-optimized RbInC structure.

Lattice parameters (Å, degrees): 3.8782 3.8782 11.4436 90.00 90.00 120.00
Last column: nearest neighbours and their distance in Å.
Fractional coordinates of all 6 atoms:
1 Rb 0.0000 0.0000 0.0000  6 In 3.63, 6 C 3.63, 6 Rb 3.88
2 Rb 0.0000 0.0000 0.5000  6 C 3.63, 6 In 3.63, 6 Rb 3.88
3 In 0.3333 0.6667 0.2500  3 C 2.24
4 In 0.6667 0.3333 0.7500  3 C 2.24
5 C 0.3333 0.6667 0.7500  3 In 2.24
6 C 0.6667 0.3333 0.2500  3 In 2.24

Computed properties:
DFT formation energy   0.820 eV/atom



# 7
A plane-wave DFT calculation with PBE-GGA was carried out for a geometry-optimized RbInC structure.

Lattice parameters (Å, degrees): 6.2384 6.2384 7.8654 90.00 90.00 120.00
Last column: nearest neighbours and their distance in Å.
Fractional coordinates of all 6 atoms:
1 Rb 0.3333 0.6667 0.2500  3 In 3.60
2 Rb 0.6667 0.3333 0.7500  3 In 3.60
3 In 0.0000 0.0000 0.2500  2 C 1.97
4 In 0.0000 0.0000 0.7500  2 C 1.97
5 C 0.0000 0.0000 0.0000  2 In 1.97
6 C 0.0000 0.0000 0.5000  2 In 1.97

Computed properties:
DFT formation energy   1.211 eV/atom



# 8
A plane-wave DFT calculation with PBE-GGA was carried out for a geometry-optimized RbInC structure.

Lattice parameters (Å, degrees): 3.6590 6.9798 7.5601 77.58 77.74 74.93
Last column: nearest neighbours and their distance in Å.
Fractional coordinates of all 6 atoms:
1 Rb 0.0000 0.0000 0.0000  4 C 3.15-3.29
2 Rb 0.0583 0.4393 0.3722  4 C 3.09-3.34
3 In 0.2767 0.8853 0.5213  2 C 2.45-2.48
4 In 0.3236 0.5173 0.8378  1 C 2.27
5 C 0.5186 0.2455 0.6926  1 C 1.27
6 C 0.6271 0.0832 0.6260  1 C 1.27

Computed properties:
DFT formation energy   0.338 eV/atom



# 9
A plane-wave DFT calculation with PBE-GGA was carried out for a geometry-optimized RbInC structure.

Lattice parameters (Å, degrees): 5.1436 5.1436 14.4548 90.00 90.00 90.00
Last column: nearest neighbours and their distance in Å.
Fractional coordinates of all 12 atoms:
1 Rb 0.0000 0.1034 0.0000  2 C 3.13
2 Rb 0.0000 0.8966 0.5000  2 C 3.13
3 Rb 0.1034 0.0000 0.7500  2 C 3.13
4 Rb 0.8966 0.0000 0.2500  2 C 3.13
5 In 0.4281 0.4281 0.3750  2 C 2.07
6 In 0.4281 0.5719 0.1250  2 C 2.07
7 In 0.5719 0.4281 0.6250  2 C 2.07
8 In 0.5719 0.5719 0.8750  2 C 2.07
9 C 0.2442 0.5000 0.2500  2 In 2.07
10 C 0.5000 0.2442 0.5000  2 In 2.07
11 C 0.5000 0.7558 0.0000  2 In 2.07
12 C 0.7558 0.5000 0.7500  2 In 2.07

Computed properties:
DFT formation energy   1.007 eV/atom



# 10
A plane-wave DFT calculation with PBE-GGA was carried out for a geometry-optimized RbInC structure.

Lattice parameters (Å, degrees): 6.8342 6.8342 6.7247 117.24 117.24 43.81
Last column: nearest neighbours and their distance in Å.
Fractional coordinates of all 6 atoms:
1 Rb 0.0988 0.0988 0.3567  4 C 3.25-3.26
2 Rb 0.9012 0.9012 0.6433  4 C 3.25-3.26
3 In 0.3093 0.3093 0.0347  1 C 2.24
4 In 0.6907 0.6907 0.9653  1 C 2.24
5 C 0.4537 0.4537 0.4022  1 C 1.26
6 C 0.5463 0.5463 0.5978  1 C 1.26

Computed properties:
DFT formation energy   0.216 eV/atom



# 11
A plane-wave DFT calculation with PBE-GGA was carried out for a geometry-optimized RbInC structure.

Lattice parameters (Å, degrees): 6.6634 4.2970 12.2973 90.00 90.00 90.00
Last column: nearest neighbours and their distance in Å.
Fractional coordinates of all 12 atoms:
1 Rb 0.0793 0.2500 0.1503  2 C 3.12-3.43
2 Rb 0.4207 0.7500 0.6503  2 C 3.12-3.43
3 Rb 0.5793 0.2500 0.3497  2 C 3.12-3.43
4 Rb 0.9207 0.7500 0.8497  2 C 3.12-3.43
5 In 0.0654 0.7500 0.4141  3 C 2.20-2.36
6 In 0.4346 0.2500 0.9141  3 C 2.20-2.36
7 In 0.5654 0.7500 0.0859  3 C 2.20-2.36
8 In 0.9346 0.2500 0.5859  3 C 2.20-2.36
9 C 0.1344 0.2500 0.4276  3 In 2.20-2.36
10 C 0.3656 0.7500 0.9276  3 In 2.20-2.36
11 C 0.6344 0.2500 0.0724  3 In 2.20-2.36
12 C 0.8656 0.7500 0.5724  3 In 2.20-2.36

Computed properties:
DFT formation energy   0.953 eV/atom



# 12
A plane-wave DFT calculation with PBE-GGA was carried out for a geometry-optimized RbInC structure.

Lattice parameters (Å, degrees): 10.6682 6.3995 6.4912 90.00 90.00 90.00
Last column: nearest neighbours and their distance in Å.
Fractional coordinates of all 12 atoms:
1 Rb 0.1535 0.2500 0.0043  2 C 3.19
2 Rb 0.3465 0.7500 0.5043  2 C 3.19
3 Rb 0.6535 0.2500 0.4957  2 C 3.19
4 Rb 0.8465 0.7500 0.9957  2 C 3.19
5 In 0.0000 0.0000 0.5000  2 C 2.09
6 In 0.0000 0.5000 0.5000  2 C 2.09
7 In 0.5000 0.0000 0.0000  2 C 2.09
8 In 0.5000 0.5000 0.0000  2 C 2.09
9 C 0.0677 0.7500 0.3261  2 In 2.09
10 C 0.4323 0.2500 0.8261  2 In 2.09
11 C 0.5677 0.7500 0.1739  2 In 2.09
12 C 0.9323 0.2500 0.6739  2 In 2.09

Computed properties:
DFT formation energy   0.951 eV/atom



| no. | D(E_F) (states/eV per cell) |
| --- | --- |
| 1 | 8.52 |
| 2 | 9.33 |
| 3 | 1.51 |
| 4 | 1.23 |
| 5 | 0.02 |
| 6 | 0.04 |
| 7 | 0.08 |
| 8 | 1.24 |
| 9 | 0.00 |
| 10 | 0.63 |
| 11 | 4.89 |
| 12 | 0.13 |